Entry 1:
This record from the Alexandria database describes a relaxed TlTcP2 crystal. The functional is GGA-PBE.

Properties
- E above lowest polymorph: 45.2 kJ per mole of atoms
- DFT formation energy: 389 meV per atom

a = 2.9285 Å, b = 5.7687 Å, c = 9.8236 Å
α = 90.00°, β = 90.00°, γ = 90.00°
Space group Immm (No. 71)
One atom of each set of equivalent atoms:
1 Tl 0.0000 0.0000 0.0000 x2
2 Tc 0.0000 0.0000 0.5000 x2
3 P 0.0000 0.5000 0.1889 x4

Entry 2:
This record from the Alexandria database describes a relaxed KLi2CdPd crystal. The functional is GGA-PBE.

Properties
- DFT formation energy: -144 meV per atom

a = 4.9963 Å, b = 4.9963 Å, c = 5.3426 Å
α = 90.00°, β = 90.00°, γ = 90.00°
Space group P4/mmm (No. 123)
One atom of each set of equivalent atoms:
1 K 0.0000 0.0000 0.0000 x1
2 Li 0.0000 0.5000 0.5000 x2
3 Cd 0.5000 0.5000 0.0000 x1
4 Pd 0.5000 0.5000 0.5000 x1

Entry 3:
This record from the Alexandria database describes a relaxed MgSc2Rh3 crystal. The functional is GGA-PBE.

Properties
- E above lowest polymorph: 0.0 kJ per mole of atoms
- DFT formation energy: -900 meV per atom

a = 4.5133 Å, b = 4.5133 Å, c = 11.0414 Å
α = 90.00°, β = 90.00°, γ = 120.00°
Space group P-3m1 (No. 164)
One atom of each set of equivalent atoms:
1 Mg 0.3333 0.6667 0.1652 x2
2 Sc 0.0000 0.0000 0.0000 x1
3 Sc 0.0000 0.0000 0.5000 x1
4 Sc 0.3333 0.6667 0.6750 x2
5 Rh 0.0000 0.0000 0.2510 x2
6 Rh 0.3333 0.6667 0.4175 x2
7 Rh 0.3333 0.6667 0.9181 x2

Entry 4:
This record from the Alexandria database describes a relaxed DyThCu2Si2 crystal. The functional is GGA-PBE.

Properties
- Formation energy (no corrections): -0.66 eV per atom

a = 4.1313 Å, b = 4.1313 Å, c = 7.9022 Å
α = 90.00°, β = 90.00°, γ = 120.00°
Space group P-3m1 (No. 164)
One atom of each set of equivalent atoms:
1 Dy 0.0000 0.0000 0.0000 x1
2 Th 0.0000 0.0000 0.5000 x1
3 Cu 0.3333 0.6667 0.7562 x2
4 Si 0.3333 0.6667 0.2425 x2

Entry 5:
This record from the Alexandria database describes a relaxed KScIn2Pt crystal. The functional is GGA-PBE.

Properties
- DFT formation energy: 1538 meV per atom

a = 5.5034 Å, b = 5.5034 Å, c = 5.2325 Å
α = 90.00°, β = 90.00°, γ = 90.00°
Space group P4/mmm (No. 123)
One atom of each set of equivalent atoms:
1 K 0.0000 0.0000 0.0000 x1
2 Sc 0.0000 0.0000 0.5000 x1
3 In 0.0000 0.5000 0.0000 x2
4 Pt 0.5000 0.5000 0.5000 x1

Entry 6:
This record from the Alexandria database describes a relaxed TcSnHgOs2 crystal. The functional is GGA-PBE.

Properties
- DFT formation energy: 1592 meV per atom

a = 4.7007 Å, b = 4.7007 Å, c = 5.2087 Å
α = 90.00°, β = 90.00°, γ = 90.00°
Space group P4/mmm (No. 123)
One atom of each set of equivalent atoms:
1 Tc 0.0000 0.0000 0.0000 x1
2 Sn 0.5000 0.5000 0.5000 x1
3 Hg 0.0000 0.0000 0.5000 x1
4 Os 0.0000 0.5000 0.0000 x2

Entry 7:
This record from the Alexandria database describes a relaxed TbY2Ni crystal. The functional is GGA-PBE.

Properties
- E above lowest polymorph: 3.2 kJ per mole of atoms
- DFT formation energy: -205 meV per atom

a = 3.6332 Å, b = 12.0977 Å, c = 9.6542 Å
α = 90.00°, β = 90.00°, γ = 90.00°
Space group Cmcm (No. 63)
One atom of each set of equivalent atoms:
1 Tb 0.0000 0.0846 0.2500 x4
2 Y 0.0000 0.3639 0.0709 x8
3 Ni 0.0000 0.2390 0.7500 x4

Entry 8:
This record from the Alexandria database describes a relaxed BeGa3 crystal. The functional is GGA-PBE.

Properties
- E above lowest polymorph: 10.9 kJ per mole of atoms
- DFT formation energy: 270 meV per atom

a = 4.0577 Å, b = 4.0577 Å, c = 7.6400 Å
α = 90.00°, β = 90.00°, γ = 90.00°
Space group I4/mmm (No. 139)
One atom of each set of equivalent atoms:
1 Be 0.0000 0.0000 0.0000 x2
2 Ga 0.0000 0.0000 0.5000 x2
3 Ga 0.0000 0.5000 0.2500 x4

Number 1: E -43.99 eV for the cell shown, total moment 0.45 μB per formula unit. Number 2: E -11.75 eV for the cell shown, total moment 0.00 μB per formula unit. Number 3: E -83.42 eV for the cell shown, total moment 0.00 μB per formula unit. Number 4: E -35.03 eV for the cell shown, total moment 0.00 μB per formula unit. Number 5: E -11.26 eV for the cell shown, total moment 1.29 μB per formula unit. Number 6: E -29.17 eV for the cell shown, total moment 0.00 μB per formula unit. Number 7: E -96.64 eV for the cell shown, total moment 0.00 μB per formula unit. Number 8: E -23.46 eV for the cell shown, total moment 0.00 μB per formula unit.